# Nd5P4Au | Alexandria via LeMat-Bulk | PBE | optimized geometry
# * density of states at the Fermi level: 9.542 states/eV/cell
# * VASP energy: -124.86 eV/cell
# * formation enthalpy at 0 K: -13.67 eV per formula unit
# * crystal system: monoclinic
# * spin magnetization: 0.0 μB per formula unit
data_Nd5P4Au
_space_group_name_H-M_alt 'C 1 2/m 1'
_space_group_IT_number 12
_cell_length_a 13.978
_cell_length_b 4.179
_cell_length_c 10.355
_cell_angle_alpha 90.00
_cell_angle_beta 120.09
_cell_angle_gamma 90.00
loop_
_space_group_symop_operation_xyz
'x,y,z'
'-x,-y,-z'
'-x,y,-z'
'x,-y,z'
'x+1/2,y+1/2,z'
'-x+1/2,-y+1/2,-z'
'-x+1/2,y+1/2,-z'
'x+1/2,-y+1/2,z'
loop_
_atom_site_label
_atom_site_type_symbol
_atom_site_fract_x
_atom_site_fract_y
_atom_site_fract_z
_atom_site_occupancy
Nd1 Nd 0.000 0.000 0.000 1
Nd2 Nd 0.110 0.500 0.386 1
Nd3 Nd 0.206 0.000 0.815 1
P1 P 0.098 0.500 0.897 1
P2 P 0.205 0.000 0.299 1
Au1 Au 0.000 0.000 0.500 1